Material: AlBiHPd2
Method: DFT, GGA-PBEsol
State: optimized geometry

Calculated values
M_tot = 0.000 μB per cell
total energy = -4.7517 eV per atom

Unit cell a=4.8568 b=4.8568 c=3.3999 alpha=90.00 beta=90.00 gamma=90.00
Fractional positions:
Al  0.0000  0.0000  0.0000
Bi  0.5000  0.5000  0.5000
H  0.0000  0.0000  0.5000
Pd  0.0000  0.5000  0.0000
Pd  0.5000  0.0000  0.0000

***

Material: HfAl3Bi
Method: DFT, GGA-PBEsol
State: optimized geometry

Calculated values
DFT formation energy = 21.4 kcal/mol of atoms
M_tot = 0.001 μB per cell
total energy = -4.4855 eV per atom

Unit cell a=5.1642 b=5.1642 c=5.1642 alpha=90.00 beta=90.00 gamma=90.00
Fractional positions:
Hf  0.0000  0.0000  0.0000
Al  0.0000  0.0000  0.5000
Al  0.0000  0.5000  0.0000
Al  0.5000  0.0000  0.0000
Bi  0.5000  0.5000  0.5000

***

Material: HfAl2Bi
Method: DFT, GGA-PBEsol
State: optimized geometry

Calculated values
DFT formation energy = 7.3 kcal/mol of atoms
M_tot = 0.000 μB per cell
total energy = -5.4266 eV per atom

Unit cell a=6.2889 b=6.2889 c=6.2889 alpha=102.34 beta=102.34 gamma=124.94
Fractional positions:
Hf  0.0000  0.0000  0.0000
Hf  0.7500  0.2500  0.5000
Al  0.1215  0.1250  0.4965
Al  0.3750  0.8785  0.0035
Al  0.6285  0.6250  0.5035
Al  0.8750  0.3715  0.9965
Bi  0.2500  0.7500  0.5000
Bi  0.5000  0.5000  0.0000

***

Material: HfAlBi2P
Method: DFT, GGA-PBEsol
State: optimized geometry

Calculated values
DFT formation energy = 13.9 kcal/mol of atoms
M_tot = 0.000 μB per cell
total energy = -5.1883 eV per atom

Unit cell a=5.3426 b=5.3426 c=4.4622 alpha=90.00 beta=90.00 gamma=90.00
Fractional positions:
Hf  0.0000  0.0000  0.0000
Al  0.5000  0.5000  0.0000
Bi  0.0000  0.5000  0.5000
Bi  0.5000  0.0000  0.5000
P  0.5000  0.5000  0.5000

***

Material: Al2HgBi
Method: DFT, GGA-PBEsol
State: optimized geometry

Calculated values
DFT formation energy = 4.7 kcal/mol of atoms
M_tot = 0.000 μB per cell
total energy = -3.0547 eV per atom

Unit cell a=6.2954 b=6.2954 c=6.2954 alpha=103.24 beta=103.24 gamma=122.81
Fractional positions:
Al  0.1097  0.1250  0.4847
Al  0.3750  0.8903  0.0153
Al  0.6403  0.6250  0.5153
Al  0.8750  0.3597  0.9847
Hg  0.0000  0.0000  0.0000
Hg  0.7500  0.2500  0.5000
Bi  0.2500  0.7500  0.5000
Bi  0.5000  0.5000  0.0000

***

Material: AlHg2Bi
Method: DFT, GGA-PBEsol
State: optimized geometry

Calculated values
DFT formation energy = 3.5 kcal/mol of atoms
M_tot = 0.000 μB per cell
total energy = -2.2266 eV per atom

Unit cell a=5.1358 b=5.1358 c=5.1358 alpha=60.00 beta=60.00 gamma=60.00
Fractional positions:
Al  0.0000  0.0000  0.0000
Hg  0.2500  0.2500  0.2500
Hg  0.7500  0.7500  0.7500
Bi  0.5000  0.5000  0.5000

***

Material: Al2BiIrI
Method: DFT, GGA-PBEsol
State: optimized geometry

Calculated values
M_tot = 0.000 μB per cell
uncorrected formation energy = 1.94 eV/atom
total energy = -2.8765 eV per atom

Unit cell a=5.0523 b=5.0523 c=5.7359 alpha=90.00 beta=90.00 gamma=90.00
Fractional positions:
Al  0.0000  0.5000  0.0000
Al  0.5000  0.0000  0.0000
Bi  0.0000  0.0000  0.5000
Ir  0.5000  0.5000  0.5000
I  0.0000  0.0000  0.0000

***

Material: AlBiIN2
Method: DFT, GGA-PBEsol
State: optimized geometry

Calculated values
M_tot = 1.368 μB per cell
uncorrected formation energy = 1.44 eV/atom
total energy = -3.9990 eV per atom

Unit cell a=4.3644 b=4.3644 c=6.5178 alpha=90.00 beta=90.00 gamma=90.00
Fractional positions:
Al  0.0000  0.0000  0.0000
Bi  0.5000  0.5000  0.5000
I  0.5000  0.5000  0.0000
N  0.0000  0.5000  0.5000
N  0.5000  0.0000  0.5000